Record 1
Computed, not measured: Ho2ScHg after structural relaxation at the PBE-GGA level of DFT.

For the distance to the lowest polymorph of the same formula, the calculation gives 45.3 meV per atom. The value obtained for the energy relative to the elements is -0.1637 eV/atom. The volume comes out at 103 Å³/cell. The calculation puts the spin magnetization at 0.6 μB/cell.

abc: 4.702 4.702 4.652
angles: 90.00 90.00 90.00
Fractional positions:
Ho1 0.000 0.500 0.000
Ho2 0.500 0.000 0.000
Sc1 0.000 0.000 0.500
Hg1 0.500 0.500 0.500


Record 2
Computed, not measured: HoScHg3 after structural relaxation at the PBE-GGA level of DFT.

For the distance to the lowest polymorph of the same formula, the calculation gives 154.3 meV per atom. The value obtained for the energy relative to the elements is -0.1905 eV/atom. The volume comes out at 259 Å³/cell. The calculation puts the spin magnetization at 0.0 μB/cell.

abc: 6.918 6.918 6.250
angles: 90.00 90.00 120.00
Fractional positions:
Ho1 0.333 0.667 0.250
Ho2 0.667 0.333 0.750
Sc1 0.000 0.000 0.000
Sc2 0.000 0.000 0.500
Hg1 0.195 0.391 0.750
Hg2 0.195 0.805 0.750
Hg3 0.391 0.195 0.250
Hg4 0.609 0.805 0.750
Hg5 0.805 0.195 0.250
Hg6 0.805 0.609 0.250